1.
Computed, not measured: crystalline Ac2Zn3GaRh4 at its relaxed geometry at the GGA-PBE level of DFT.

CIF file:
```
data_Ac2Zn3GaRh4
_cell_length_a 4.418
_cell_length_b 4.418
_cell_length_c 10.200
_cell_angle_alpha 90.00
_cell_angle_beta 90.00
_cell_angle_gamma 90.00
_symmetry_space_group_name_H-M 'P -4 m 2'
_symmetry_Int_Tables_number 115
_symmetry_space_group_name_Hall 'P -4 -2'
loop_
_atom_site_label
_atom_site_fract_x
_atom_site_fract_y
_atom_site_fract_z
_atom_site_occupancy
Ac1 0.000 0.500 0.233 1
Zn1 0.000 0.500 0.874 1
Zn2 0.500 0.500 0.500 1
Ga1 0.000 0.000 0.500 1
Rh1 0.000 0.000 0.000 1
Rh2 0.000 0.500 0.624 1
Rh3 0.500 0.500 0.000 1
```

Results
Formation energy ... -587.8 meV per atom
ρ ... 9.4 Mg/m³
D(E_F) ... 4.0 states/eV/f.u.


2.
Computed, not measured: crystalline LiHfMg2 at its relaxed geometry at the GGA-PBE level of DFT.

CIF file:
```
data_LiHfMg2
_cell_length_a 6.965
_cell_length_b 6.965
_cell_length_c 6.965
_cell_angle_alpha 90.00
_cell_angle_beta 90.00
_cell_angle_gamma 90.00
_symmetry_space_group_name_H-M 'F m -3 m'
_symmetry_Int_Tables_number 225
_symmetry_space_group_name_Hall '-F 4 2 3'
loop_
_atom_site_label
_atom_site_fract_x
_atom_site_fract_y
_atom_site_fract_z
_atom_site_occupancy
Li1 0.000 0.000 0.000 1
Hf1 0.000 0.000 0.500 1
Mg1 0.250 0.250 0.250 1
```

Results
Formation energy ... 272.3 meV per atom
ρ ... 4.6 Mg/m³
Energy above the most stable polymorph in this dataset ... 0.212 eV per atom
D(E_F) ... 3.4 states/eV/f.u.


3.
Computed, not measured: crystalline Zr12HgPb3 at its relaxed geometry at the GGA-PBE level of DFT.

CIF file:
```
data_Zr12HgPb3
_cell_length_a 5.667
_cell_length_b 5.672
_cell_length_c 11.346
_cell_angle_alpha 90.00
_cell_angle_beta 90.00
_cell_angle_gamma 90.00
_symmetry_space_group_name_H-M 'P m m m'
_symmetry_Int_Tables_number 47
_symmetry_space_group_name_Hall '-P 2 2'
loop_
_atom_site_label
_atom_site_fract_x
_atom_site_fract_y
_atom_site_fract_z
_atom_site_occupancy
Zr1 0.000 0.000 0.122 1
Zr2 0.000 0.000 0.373 1
Zr3 0.250 0.500 0.500 1
Zr4 0.253 0.500 0.000 1
Zr5 0.500 0.248 0.247 1
Hg1 0.500 0.000 0.000 1
Pb1 0.000 0.500 0.251 1
Pb2 0.500 0.000 0.500 1
```

Results
Formation energy ... -171.7 meV per atom
ρ ... 8.7 Mg/m³
D(E_F) ... 18.5 states/eV/f.u.


4.
Computed, not measured: crystalline Rb2BeSiF6 at its relaxed geometry at the GGA-PBE level of DFT.

CIF file:
```
data_Rb2BeSiF6
_cell_length_a 8.193
_cell_length_b 8.193
_cell_length_c 8.193
_cell_angle_alpha 90.00
_cell_angle_beta 90.00
_cell_angle_gamma 90.00
_symmetry_space_group_name_H-M 'F m -3 m'
_symmetry_Int_Tables_number 225
_symmetry_space_group_name_Hall '-F 4 2 3'
loop_
_atom_site_label
_atom_site_fract_x
_atom_site_fract_y
_atom_site_fract_z
_atom_site_occupancy
Rb1 0.250 0.250 0.250 1
Be1 0.000 0.000 0.000 1
Si1 0.000 0.000 0.500 1
F1 0.000 0.000 0.225 1
```

Results
ρ ... 3.9 Mg/m³
D(E_F) ... 0.0 states/eV/f.u.
E_form (uncorrected) ... -2.49 eV/atom